# 1
Compound: AlOsBr2
Source: Alexandria via LeMat-Bulk
Functional: meta-GGA SCAN
Structure: PBEsol geometry

POSCAR file:
```
AlOsBr2
1.0
4.617 0.000 0.000
2.308 3.998 0.000
2.308 1.333 3.769
Br Os Al
2 1 1
Direct
0.750 0.750 0.750
0.250 0.250 0.250
0.000 0.000 0.000
0.500 0.500 0.500
```

Output
Distance to the lowest polymorph of the same formula in eV per atom: 1.153
Uncorrected formation energy in eV per formula unit: 5.226
Raw total energy in eV/atom: -28.331

# 2
Compound: AlP2Br
Source: Alexandria via LeMat-Bulk
Functional: meta-GGA SCAN
Structure: PBEsol geometry

POSCAR file:
```
AlP2Br
1.0
-2.850 0.052 -0.904
0.494 -4.391 -1.810
-1.360 -1.874 4.176
P Al Br
2 1 1
Direct
0.000 0.000 0.500
0.000 0.500 0.000
0.500 0.500 0.500
0.500 0.000 0.000
```

Output
Distance to the lowest polymorph of the same formula in eV per atom: 0.473
Uncorrected formation energy in eV per formula unit: 3.180
Raw total energy in eV/atom: -11.207

# 3
Compound: AlP2Br
Source: Alexandria via LeMat-Bulk
Functional: meta-GGA SCAN
Structure: PBEsol geometry

POSCAR file:
```
AlP2Br
1.0
-1.369 3.525 2.533
-3.620 -2.303 -1.520
2.585 -2.760 2.533
P Al Br
2 1 1
Direct
0.000 0.500 0.500
0.500 0.000 0.500
0.500 0.500 0.000
0.000 0.000 0.000
```

Output
Distance to the lowest polymorph of the same formula in eV per atom: 0.000
Uncorrected formation energy in eV per formula unit: 1.289
Raw total energy in eV/atom: -11.680

# 4
Compound: Al3PBr12
Source: Alexandria via LeMat-Bulk
Functional: meta-GGA SCAN
Structure: PBEsol geometry

POSCAR file:
```
Al3PBr12
1.0
10.671 0.000 0.000
-5.335 9.241 0.000
0.000 0.000 20.506
Br P Al
36 3 9
Direct
0.935 0.537 0.751
0.100 0.962 0.913
0.601 0.065 0.418
0.457 0.787 0.145
0.261 0.858 0.792
0.138 0.038 0.087
0.156 0.622 0.277
0.962 0.100 0.421
0.900 0.862 0.754
0.065 0.601 0.915
0.142 0.403 0.125
0.765 0.797 0.026
0.597 0.739 0.458
0.862 0.900 0.579
0.213 0.670 0.479
0.378 0.534 0.610
0.032 0.235 0.693
0.797 0.765 0.307
0.543 0.330 0.521
0.203 0.968 0.359
0.858 0.261 0.542
0.463 0.399 0.085
0.739 0.597 0.875
0.534 0.378 0.723
0.968 0.203 0.974
0.235 0.032 0.641
0.537 0.935 0.582
0.844 0.466 0.390
0.670 0.213 0.855
0.038 0.138 0.246
0.622 0.156 0.056
0.330 0.543 0.812
0.466 0.844 0.944
0.403 0.142 0.208
0.399 0.463 0.249
0.787 0.457 0.188
0.735 0.000 0.500
0.265 0.265 0.167
0.000 0.735 0.833
0.000 0.973 0.333
0.290 0.594 0.200
0.973 0.000 0.000
0.406 0.696 0.534
0.594 0.290 0.133
0.710 0.304 0.466
0.696 0.406 0.800
0.304 0.710 0.867
0.027 0.027 0.667
```

Output
Uncorrected formation energy in eV per formula unit: -14.465
Raw total energy in eV/atom: -17.602

# 5
Compound: AlPBr2
Source: Alexandria via LeMat-Bulk
Functional: meta-GGA SCAN
Structure: PBEsol geometry

POSCAR file:
```
AlPBr2
1.0
3.453 0.000 0.000
0.000 4.910 0.000
0.000 0.000 4.910
Br Al P
2 1 1
Direct
0.000 0.500 0.000
0.000 0.000 0.500
0.500 0.000 0.000
0.500 0.500 0.500
```

Output
Distance to the lowest polymorph of the same formula in eV per atom: 0.343
Uncorrected formation energy in eV per formula unit: 2.582
Raw total energy in eV/atom: -13.622

# 6
Compound: AlPBr2
Source: Alexandria via LeMat-Bulk
Functional: meta-GGA SCAN
Structure: PBEsol geometry

POSCAR file:
```
AlPBr2
1.0
-3.758 1.661 2.742
-0.258 -4.832 -0.990
4.383 0.309 2.257
Br Al P
2 1 1
Direct
0.500 0.000 0.500
0.500 0.500 0.000
0.000 0.500 0.500
0.000 0.000 0.000
```

Output
Distance to the lowest polymorph of the same formula in eV per atom: 0.000
Uncorrected formation energy in eV per formula unit: 1.209
Raw total energy in eV/atom: -13.965